Here is a relaxed structure of Tl5Se3 from the Alexandria database. Energies are from PBEsol.

a = 8.3853 Å, b = 8.3853 Å, c = 12.2710 Å
α = 90.00°, β = 90.00°, γ = 90.00°
Closest atoms and distances in Å follow each position.
Atoms (fractional coordinates):
Tl  0.0826  0.6191  0.0950  4 Se 2.98-3.33
Tl  0.0826  0.8809  0.5950  4 Se 2.98-3.33
Tl  0.1191  0.5826  0.4050  4 Se 2.98-3.33
Tl  0.1191  0.9174  0.9050  4 Se 2.98-3.33
Tl  0.2500  0.2500  0.2218  6 Se 2.96-3.18
Tl  0.2500  0.2500  0.7218  6 Se 2.96-3.18
Tl  0.3809  0.5826  0.9050  4 Se 2.98-3.33
Tl  0.3809  0.9174  0.4050  4 Se 2.98-3.33
Tl  0.4174  0.6191  0.5950  4 Se 2.98-3.33
Tl  0.4174  0.8809  0.0950  4 Se 2.98-3.33
Tl  0.5826  0.1191  0.9050  4 Se 2.98-3.33
Tl  0.5826  0.3809  0.4050  4 Se 2.98-3.33
Tl  0.6191  0.0826  0.5950  4 Se 2.98-3.33
Tl  0.6191  0.4174  0.0950  4 Se 2.98-3.33
Tl  0.7500  0.7500  0.2782  6 Se 2.96-3.18
Tl  0.7500  0.7500  0.7782  6 Se 2.96-3.18
Tl  0.8809  0.0826  0.0950  4 Se 2.98-3.33
Tl  0.8809  0.4174  0.5950  4 Se 2.98-3.33
Tl  0.9174  0.1191  0.4050  4 Se 2.98-3.33
Tl  0.9174  0.3809  0.9050  4 Se 2.98-3.33
Se  0.0920  0.5920  0.7500  8 Tl 2.98-3.33
Se  0.0920  0.9080  0.2500  8 Tl 2.98-3.33
Se  0.2500  0.2500  0.4804  6 Tl 2.96-3.17
Se  0.2500  0.2500  0.9804  6 Tl 2.96-3.17
Se  0.4080  0.5920  0.2500  8 Tl 2.98-3.33
Se  0.4080  0.9080  0.7500  8 Tl 2.98-3.33
Se  0.5920  0.0920  0.2500  8 Tl 2.98-3.33
Se  0.5920  0.4080  0.7500  8 Tl 2.98-3.33
Se  0.7500  0.7500  0.0196  6 Tl 2.96-3.17
Se  0.7500  0.7500  0.5196  6 Tl 2.96-3.17
Se  0.9080  0.0920  0.7500  8 Tl 2.98-3.33
Se  0.9080  0.4080  0.2500  8 Tl 2.98-3.33

## Properties
The total energy comes out at -3.40 eV/atom. For the formation energy without anion corrections, the calculation gives -0.310 eV/atom. The volume comes out at 862.8 Å³/cell. As for the symmetry: No. 130. The total moment is 0.00 μB/cell.